The following is a DFT calculation (GGA-PBEsol) of a geometry-optimized Cs2InHgBr6 structure.

Values from the calculation:
**Formation energy from raw total energies**: -1130 meV/atom
**Symmetry**: Fm-3m, No. 225
**Calculated density**: 5.10 g/cm3
**DFT total energy**: -2.795 eV per atom

The structure in POSCAR format:
```
Cs2InHgBr6
1.0
7.874 0.000 0.000
3.937 6.819 0.000
3.937 2.273 6.429
Br Cs In Hg
6 2 1 1
direct
0.756 0.244 0.244 Br
0.244 0.244 0.756 Br
0.756 0.244 0.756 Br
0.244 0.756 0.756 Br
0.756 0.756 0.244 Br
0.244 0.756 0.244 Br
0.250 0.250 0.250 Cs
0.750 0.750 0.750 Cs
0.000 0.000 0.000 In
0.500 0.500 0.500 Hg
```

---

The following is a DFT calculation (GGA-PBEsol) of a geometry-optimized SrCoRe2Pt structure.

Values from the calculation:
**Symmetry**: P4/mmm, No. 123
**Calculated density**: 12.61 g/cm3
**DFT total energy**: -5.268 eV per atom

The structure in POSCAR format:
```
SrCoRe2Pt
1.0
4.305 0.000 0.000
0.000 4.674 0.000
0.000 0.000 4.674
Co Re Pt Sr
1 2 1 1
direct
0.500 0.000 0.000 Co
0.000 0.500 0.000 Re
0.000 0.000 0.500 Re
0.500 0.500 0.500 Pt
0.000 0.000 0.000 Sr
```

---

The following is a DFT calculation (GGA-PBEsol) of a geometry-optimized ZnH16I2O16 structure.

Values from the calculation:
**Symmetry**: P2_1/c, No. 14
**Calculated density**: 3.17 g/cm3
**DFT total energy**: -4.908 eV per atom

The structure in POSCAR format:
```
ZnH16I2O16
1.0
5.366 0.000 0.000
0.000 10.608 0.081
0.000 -4.537 10.858
O H I Zn
32 32 4 2
direct
0.401 0.565 0.943 O
0.683 0.217 0.849 O
0.352 0.029 0.349 O
0.148 0.029 0.849 O
0.251 0.835 0.455 O
0.719 0.878 0.888 O
0.817 0.217 0.349 O
0.461 0.363 0.718 O
0.039 0.363 0.218 O
0.852 0.971 0.151 O
0.749 0.165 0.545 O
0.901 0.435 0.557 O
0.278 0.308 0.396 O
0.317 0.783 0.151 O
0.222 0.308 0.896 O
0.281 0.122 0.112 O
0.638 0.453 0.366 O
0.219 0.122 0.612 O
0.778 0.692 0.104 O
0.599 0.435 0.057 O
0.961 0.637 0.782 O
0.183 0.783 0.651 O
0.648 0.971 0.651 O
0.751 0.165 0.045 O
0.249 0.835 0.955 O
0.781 0.878 0.388 O
0.099 0.565 0.443 O
0.862 0.453 0.866 O
0.722 0.692 0.604 O
0.138 0.547 0.134 O
0.539 0.637 0.282 O
0.362 0.547 0.634 O
0.853 0.047 0.232 H
0.082 0.368 0.885 H
0.780 0.783 0.847 H
0.377 0.476 0.674 H
0.225 0.812 0.531 H
0.280 0.217 0.653 H
0.275 0.812 0.031 H
0.147 0.953 0.768 H
0.163 0.117 0.839 H
0.720 0.783 0.347 H
0.663 0.883 0.661 H
0.725 0.188 0.969 H
0.674 0.248 0.609 H
0.837 0.883 0.161 H
0.174 0.752 0.891 H
0.582 0.632 0.615 H
0.775 0.188 0.469 H
0.353 0.953 0.268 H
0.418 0.368 0.385 H
0.647 0.047 0.732 H
0.623 0.524 0.326 H
0.220 0.217 0.153 H
0.547 0.871 0.918 H
0.453 0.129 0.082 H
0.326 0.752 0.391 H
0.826 0.248 0.109 H
0.123 0.476 0.174 H
0.953 0.871 0.418 H
0.877 0.524 0.826 H
0.047 0.129 0.582 H
0.337 0.117 0.339 H
0.918 0.632 0.115 H
0.037 0.621 0.625 I
0.963 0.379 0.375 I
0.463 0.621 0.125 I
0.537 0.379 0.875 I
0.500 0.000 0.500 Zn
0.000 0.000 0.000 Zn
```

---

The following is a DFT calculation (GGA-PBEsol) of a geometry-optimized Re2MoCl structure.

Values from the calculation:
**E above lowest polymorph**: 0.1248 eV per atom
**Formation energy from raw total energies**: 661 meV/atom
**Symmetry**: P2/m, No. 10
**Calculated density**: 14.23 g/cm3
**DFT total energy**: -9.449 eV per atom

The structure in POSCAR format:
```
Re2MoCl
1.0
2.846 0.000 0.016
0.000 4.131 0.000
-1.320 0.000 4.992
Mo Cl Re
1 1 2
direct
0.500 0.500 0.500 Mo
0.500 0.500 0.000 Cl
0.159 0.000 0.751 Re
0.841 0.000 0.249 Re
```

---

The following is a DFT calculation (GGA-PBEsol) of a geometry-optimized CaAgIr structure.

Values from the calculation:
**E above lowest polymorph**: 0.0000 eV per atom
**Symmetry**: P3m1, No. 156
**Calculated density**: 10.46 g/cm3
**DFT total energy**: -4.762 eV per atom

The structure in POSCAR format:
```
CaAgIr
1.0
2.967 0.000 0.000
-1.483 2.569 0.000
0.000 0.000 7.083
Ag Ca Ir
1 1 1
direct
0.000 0.000 0.015 Ag
0.333 0.667 0.648 Ca
0.667 0.333 0.338 Ir
```

---

The following is a DFT calculation (GGA-PBEsol) of a geometry-optimized TiPRuS2 structure.

Values from the calculation:
**Formation energy from raw total energies**: 368 meV/atom
**Symmetry**: P4/mmm, No. 123
**Calculated density**: 4.37 g/cm3
**DFT total energy**: -6.242 eV per atom

The structure in POSCAR format:
```
TiPRuS2
1.0
-2.141 3.273 -1.835
-3.535 -0.678 2.914
1.919 2.945 3.014
P S Ti Ru
1 2 1 1
direct
0.500 0.000 0.000 P
0.000 0.000 0.500 S
0.000 0.500 0.000 S
0.500 0.500 0.500 Ti
0.000 0.000 0.000 Ru
```

---

The following is a DFT calculation (GGA-PBEsol) of a geometry-optimized ZnAg2P structure.

Values from the calculation:
**E above lowest polymorph**: 0.0044 eV per atom
**Symmetry**: Pm, No. 6
**Calculated density**: 8.35 g/cm3
**DFT total energy**: -3.374 eV per atom

The structure in POSCAR format:
```
ZnAg2P
1.0
-2.800 0.091 1.284
-1.304 -2.170 -2.691
1.249 -4.411 2.952
Ag Zn P
2 1 1
direct
0.121 0.000 0.987 Ag
0.626 0.500 0.261 Ag
0.617 0.500 0.748 Zn
0.135 0.000 0.504 P
```

---

The following is a DFT calculation (GGA-PBEsol) of a geometry-optimized MnIn2Br structure.

Values from the calculation:
**E above lowest polymorph**: 0.0000 eV per atom
**Formation energy from raw total energies**: 65 meV/atom
**Symmetry**: P4mm, No. 99
**Calculated density**: 6.61 g/cm3
**DFT total energy**: -4.334 eV per atom

The structure in POSCAR format:
```
MnIn2Br
1.0
-0.027 1.279 -2.918
1.922 -2.320 -1.035
-7.197 -5.013 -2.130
In Br Mn
2 1 1
direct
0.500 0.500 0.298 In
0.000 0.000 0.019 In
0.500 0.500 0.676 Br
0.000 0.000 0.507 Mn
```

---

The following is a DFT calculation (GGA-PBEsol) of a geometry-optimized La2ScSb2 structure.

Values from the calculation:
**Formation energy from raw total energies**: -999 meV/atom
**Symmetry**: P4/mbm, No. 127
**Calculated density**: 6.50 g/cm3
**DFT total energy**: -6.281 eV per atom

The structure in POSCAR format:
```
La2ScSb2
1.0
-2.386 2.389 2.893
-6.297 -4.908 -1.140
2.581 -4.709 6.017
Sc La Sb
2 4 4
direct
0.000 0.000 0.000 Sc
0.000 0.500 0.500 Sc
0.500 0.655 0.845 La
0.500 0.345 0.155 La
0.500 0.155 0.655 La
0.500 0.845 0.345 La
0.000 0.348 0.848 Sb
0.000 0.152 0.348 Sb
0.000 0.652 0.152 Sb
0.000 0.848 0.652 Sb
```

---

The following is a DFT calculation (GGA-PBEsol) of a geometry-optimized Zn7In6 structure.

Values from the calculation:
**Symmetry**: R-3m, No. 166
**Calculated density**: 7.51 g/cm3
**DFT total energy**: -2.167 eV per atom

The structure in POSCAR format:
```
Zn7In6
1.0
-2.110 -4.201 -1.984
1.608 -1.779 -4.503
7.506 -8.321 3.078
Zn In
7 6
direct
0.093 0.596 0.715 Zn
0.404 0.907 0.285 Zn
0.596 0.596 0.715 Zn
0.596 0.093 0.715 Zn
0.500 0.500 0.500 Zn
0.404 0.404 0.285 Zn
0.907 0.404 0.285 Zn
0.345 0.345 0.966 In
0.149 0.149 0.554 In
0.050 0.050 0.851 In
0.851 0.851 0.446 In
0.655 0.655 0.034 In
0.950 0.950 0.149 In
```

---

The following is a DFT calculation (GGA-PBEsol) of a geometry-optimized LaP3Os structure.

Values from the calculation:
**Symmetry**: Pm-3m, No. 221
**Calculated density**: 5.21 g/cm3
**DFT total energy**: -4.745 eV per atom

The structure in POSCAR format:
```
LaP3Os
1.0
5.125 0.000 0.000
0.000 5.125 0.000
0.000 0.000 5.125
P Os La
3 1 1
direct
0.000 0.500 0.000 P
0.500 0.000 0.000 P
0.000 0.000 0.500 P
0.500 0.500 0.500 Os
0.000 0.000 0.000 La
```

---

The following is a DFT calculation (GGA-PBEsol) of a geometry-optimized ZnCuPt2 structure.

Values from the calculation:
**Symmetry**: Pmm2, No. 25
**Calculated density**: 15.66 g/cm3
**DFT total energy**: -5.232 eV per atom

The structure in POSCAR format:
```
ZnCuPt2
1.0
2.723 0.000 0.000
0.000 3.775 0.000
0.000 0.000 5.355
Pt Zn Cu
2 1 1
direct
0.000 0.000 0.979 Pt
0.500 0.500 0.267 Pt
0.000 0.000 0.499 Zn
0.500 0.500 0.756 Cu
```

---

The following is a DFT calculation (GGA-PBEsol) of a geometry-optimized CdAs3 structure.

Values from the calculation:
**E above lowest polymorph**: 0.0922 eV per atom
**Symmetry**: Cmcm, No. 63
**Calculated density**: 6.19 g/cm3
**DFT total energy**: -4.003 eV per atom

The structure in POSCAR format:
```
CdAs3
1.0
3.610 0.000 0.000
0.000 6.391 0.000
0.000 -3.195 7.844
As Cd
6 2
direct
0.750 0.009 0.603 As
0.750 0.051 0.102 As
0.250 0.949 0.898 As
0.250 0.406 0.397 As
0.250 0.991 0.397 As
0.750 0.594 0.603 As
0.250 0.569 0.137 Cd
0.750 0.431 0.863 Cd
```

---

The following is a DFT calculation (GGA-PBEsol) of a geometry-optimized HoAlGe structure.

Values from the calculation:
**Symmetry**: Cmcm, No. 63
**Calculated density**: 7.52 g/cm3
**DFT total energy**: -5.361 eV per atom

The structure in POSCAR format:
```
HoAlGe
1.0
4.015 0.000 0.000
-2.008 5.116 0.000
0.000 0.000 5.686
Ge Al Ho
2 2 2
direct
0.606 0.213 0.250 Ge
0.394 0.787 0.750 Ge
0.000 0.000 0.500 Al
0.000 0.000 0.000 Al
0.309 0.618 0.250 Ho
0.691 0.382 0.750 Ho
```

---

The following is a DFT calculation (GGA-PBEsol) of a geometry-optimized Rb3BaHf structure.

Values from the calculation:
**Symmetry**: Pm-3m, No. 221
**Calculated density**: 2.81 g/cm3
**DFT total energy**: -1.968 eV per atom

The structure in POSCAR format:
```
Rb3BaHf
1.0
6.971 0.000 0.000
0.000 6.971 0.000
0.000 0.000 6.971
Hf Rb Ba
1 3 1
direct
0.000 0.000 0.000 Hf
0.000 0.000 0.500 Rb
0.000 0.500 0.000 Rb
0.500 0.000 0.000 Rb
0.500 0.500 0.500 Ba
```

---

The following is a DFT calculation (GGA-PBEsol) of a geometry-optimized CaBi2C2O2 structure.

Values from the calculation:
**Formation energy from raw total energies**: -101 meV/atom
**Symmetry**: I4/mmm, No. 139
**Calculated density**: 7.00 g/cm3
**DFT total energy**: -5.885 eV per atom

The structure in POSCAR format:
```
CaBi2C2O2
1.0
3.687 0.000 0.000
0.000 3.687 0.000
-1.844 -1.844 8.966
Ca Bi C O
1 2 2 2
direct
0.000 0.000 0.000 Ca
0.173 0.173 0.347 Bi
0.827 0.827 0.653 Bi
0.464 0.464 0.927 C
0.536 0.536 0.073 C
0.750 0.250 0.500 O
0.250 0.750 0.500 O
```

---

The following is a DFT calculation (GGA-PBEsol) of a geometry-optimized FeRhW2 structure.

Values from the calculation:
**E above lowest polymorph**: 0.3802 eV per atom
**Symmetry**: Fm-3m, No. 225
**Calculated density**: 15.51 g/cm3
**DFT total energy**: -10.836 eV per atom

The structure in POSCAR format:
```
FeRhW2
1.0
-2.838 -2.732 -1.732
0.508 -4.242 0.513
-2.693 -2.199 2.536
W Fe Rh
2 1 1
direct
0.250 0.250 0.250 W
0.750 0.750 0.750 W
0.000 0.000 0.000 Fe
0.500 0.500 0.500 Rh
```

---

The following is a DFT calculation (GGA-PBEsol) of a geometry-optimized TiOsRh2O structure.

Values from the calculation:
**Formation energy from raw total energies**: 1943 meV/atom
**Symmetry**: P4/mmm, No. 123
**Calculated density**: 8.40 g/cm3
**DFT total energy**: -6.470 eV per atom

The structure in POSCAR format:
```
TiOsRh2O
1.0
-3.283 0.258 3.011
-1.964 -3.561 -1.835
2.350 -2.737 2.797
O Rh Ti Os
1 2 1 1
direct
0.500 0.500 0.500 O
0.000 0.500 0.000 Rh
0.500 0.000 0.000 Rh
0.000 0.000 0.000 Ti
0.000 0.000 0.500 Os
```

---

The following is a DFT calculation (GGA-PBEsol) of a geometry-optimized ScCd2Hg structure.

Values from the calculation:
**Symmetry**: P4/mmm, No. 123
**Calculated density**: 9.48 g/cm3
**DFT total energy**: -2.682 eV per atom

The structure in POSCAR format:
```
ScCd2Hg
1.0
-3.317 -1.695 2.054
-0.394 -2.932 -3.057
2.819 -2.755 2.279
Hg Cd Sc
1 2 1
direct
0.500 0.500 0.500 Hg
0.000 0.500 0.000 Cd
0.500 0.000 0.000 Cd
0.000 0.000 0.500 Sc
```

---

The following is a DFT calculation (GGA-PBEsol) of a geometry-optimized ZrTaBr4 structure.

Values from the calculation:
**Formation energy from raw total energies**: 1139 meV/atom
**Symmetry**: F-43m, No. 216
**Calculated density**: 7.21 g/cm3
**DFT total energy**: -3.715 eV per atom

The structure in POSCAR format:
```
ZrTaBr4
1.0
-3.295 -1.036 4.629
-1.527 -5.415 1.305
2.264 -2.603 4.632
Br Ta Zr
4 1 1
direct
0.375 0.375 0.375 Br
0.875 0.375 0.375 Br
0.375 0.875 0.375 Br
0.375 0.375 0.875 Br
0.750 0.750 0.750 Ta
0.000 0.000 0.000 Zr
```

---

The following is a DFT calculation (GGA-PBEsol) of a geometry-optimized SrAuSeN2 structure.

Values from the calculation:
**Formation energy from raw total energies**: 662 meV/atom
**Symmetry**: P4/mmm, No. 123
**Calculated density**: 7.02 g/cm3
**DFT total energy**: -4.671 eV per atom

The structure in POSCAR format:
```
SrAuSeN2
1.0
-0.380 0.895 -4.088
1.336 -3.865 -0.970
-4.950 -1.731 0.081
N Se Au Sr
2 1 1 1
direct
0.000 0.500 0.000 N
0.500 0.000 0.000 N
0.000 0.000 0.500 Se
0.000 0.000 0.000 Au
0.500 0.500 0.500 Sr
```

---

The following is a DFT calculation (GGA-PBEsol) of a geometry-optimized BAuBr2 structure.

Values from the calculation:
**E above lowest polymorph**: 0.0000 eV per atom
**Formation energy from raw total energies**: 803 meV/atom
**Symmetry**: R-3m, No. 166
**Calculated density**: 7.71 g/cm3
**DFT total energy**: -2.867 eV per atom

The structure in POSCAR format:
```
BAuBr2
1.0
-2.767 1.374 0.647
-1.223 -0.204 2.902
3.052 8.089 3.572
Br B Au
2 1 1
direct
0.885 0.885 0.345 Br
0.115 0.115 0.655 Br
0.500 0.500 0.500 B
0.000 0.000 0.000 Au
```

---

The following is a DFT calculation (GGA-PBEsol) of a geometry-optimized FeOsAu2 structure.

Values from the calculation:
**E above lowest polymorph**: 0.0308 eV per atom
**Symmetry**: I-4m2, No. 119
**Calculated density**: 17.91 g/cm3
**DFT total energy**: -6.763 eV per atom

The structure in POSCAR format:
```
FeOsAu2
1.0
3.949 0.000 0.000
0.000 3.949 0.000
-1.975 -1.975 3.805
Os Au Fe
1 2 1
direct
0.250 0.750 0.500 Os
0.000 0.000 0.000 Au
0.750 0.250 0.500 Au
0.500 0.500 0.000 Fe
```

---

The following is a DFT calculation (GGA-PBEsol) of a geometry-optimized NaIrO2F structure.

Values from the calculation:
**Formation energy from raw total energies**: 773 meV/atom
**Symmetry**: P4/mmm, No. 123
**Calculated density**: 7.29 g/cm3
**DFT total energy**: -3.956 eV per atom

The structure in POSCAR format:
```
NaIrO2F
1.0
3.795 0.000 0.000
0.000 3.996 0.000
0.000 0.000 3.996
O Ir F Na
2 1 1 1
direct
0.000 0.500 0.000 O
0.000 0.000 0.500 O
0.500 0.500 0.500 Ir
0.500 0.000 0.000 F
0.000 0.000 0.000 Na
```